{"formula": "UBOs2", "functional": "PBE", "state": "optimized geometry", "cell": [[1.4781, 0.8534, 7.8920], [-1.4781, 0.8534, 7.8920], [0.0000, -1.7067, 7.8920]], "species": ["U", "B", "Os", "Os"], "fractional_positions": [[0.0000, 0.0000, 0.0000], [0.5000, 0.5000, 0.5000], [0.1076, 0.1076, 0.1076], [0.8924, 0.8924, 0.8924]], "delta_e_f_ev_per_atom": 0.40, "final_energy_ev_per_atom": -9.705, "volume_a3_per_atom": 14.93}



{"formula": "UB4Os4", "functional": "PBE", "state": "optimized geometry", "cell": [[5.4194, 0.0000, 0.0000], [0.0000, 5.4194, 0.0000], [0.0000, 0.0000, 7.3492]], "species": ["U", "U", "B", "B", "B", "B", "B", "B", "B", "B", "Os", "Os", "Os", "Os", "Os", "Os", "Os", "Os"], "fractional_positions": [[0.2500, 0.7500, 0.2500], [0.7500, 0.2500, 0.7500], [0.0803, 0.2500, 0.0975], [0.2500, 0.0803, 0.5975], [0.2500, 0.4197, 0.5975], [0.4197, 0.2500, 0.0975], [0.5803, 0.7500, 0.9025], [0.7500, 0.5803, 0.4025], [0.7500, 0.9197, 0.4025], [0.9197, 0.7500, 0.9025], [0.0049, 0.7500, 0.6081], [0.2500, 0.5049, 0.8919], [0.2500, 0.9951, 0.8919], [0.4951, 0.7500, 0.6081], [0.5049, 0.2500, 0.3919], [0.7500, 0.0049, 0.1081], [0.7500, 0.4951, 0.1081], [0.9951, 0.2500, 0.3919]], "delta_e_f_ev_per_atom": -0.23, "final_energy_ev_per_atom": -9.443, "volume_a3_per_atom": 11.99}



{"formula": "U2B10Os", "functional": "PBE", "state": "optimized geometry", "cell": [[5.6495, 0.0000, 0.0000], [0.0000, 11.2762, 0.0000], [0.0000, 0.0000, 4.1341]], "species": ["U", "U", "U", "U", "B", "B", "B", "B", "B", "B", "B", "B", "B", "B", "B", "B", "B", "B", "B", "B", "B", "B", "B", "B", "Os", "Os"], "fractional_positions": [[0.2113, 0.1339, 0.0000], [0.2887, 0.6339, 0.0000], [0.7113, 0.3661, 0.0000], [0.7887, 0.8661, 0.0000], [0.0578, 0.3062, 0.5000], [0.1174, 0.9581, 0.5000], [0.1308, 0.8027, 0.5000], [0.2220, 0.3807, 0.1968], [0.2220, 0.3807, 0.8032], [0.2780, 0.8807, 0.1968], [0.2780, 0.8807, 0.8032], [0.3692, 0.3027, 0.5000], [0.3826, 0.4581, 0.5000], [0.4422, 0.8062, 0.5000], [0.5578, 0.1938, 0.5000], [0.6174, 0.5419, 0.5000], [0.6308, 0.6973, 0.5000], [0.7220, 0.1193, 0.1968], [0.7220, 0.1193, 0.8032], [0.7780, 0.6193, 0.1968], [0.7780, 0.6193, 0.8032], [0.8692, 0.1973, 0.5000], [0.8826, 0.0419, 0.5000], [0.9422, 0.6938, 0.5000], [0.0000, 0.5000, 0.5000], [0.5000, 0.0000, 0.5000]], "delta_e_f_ev_per_atom": -0.36, "final_energy_ev_per_atom": -8.097, "volume_a3_per_atom": 10.13}



{"formula": "UB2Os3", "functional": "PBE", "state": "optimized geometry", "cell": [[5.5709, 0.0000, 0.0000], [-2.7855, 4.8245, 0.0000], [0.0000, 0.0000, 2.9712]], "species": ["U", "B", "B", "Os", "Os", "Os"], "fractional_positions": [[0.0000, 0.0000, 0.0000], [0.3333, 0.6667, 0.0000], [0.6667, 0.3333, 0.0000], [0.0000, 0.5000, 0.5000], [0.5000, 0.0000, 0.5000], [0.5000, 0.5000, 0.5000]], "delta_e_f_ev_per_atom": -0.33, "final_energy_ev_per_atom": -10.055, "volume_a3_per_atom": 13.31}



{"formula": "V4BOs2", "functional": "PBE", "state": "optimized geometry", "cell": [[-1.9733, 1.9733, 6.2557], [1.9733, -1.9733, 6.2557], [1.9733, 1.9733, -6.2557]], "species": ["V", "V", "V", "V", "B", "Os", "Os"], "fractional_positions": [[0.0000, 0.5000, 0.5000], [0.1733, 0.1733, 0.0000], [0.5000, 0.0000, 0.5000], [0.8267, 0.8267, 0.0000], [0.0000, 0.0000, 0.0000], [0.3602, 0.3602, 0.0000], [0.6398, 0.6398, 0.0000]], "delta_e_f_ev_per_atom": 0.27, "final_energy_ev_per_atom": -9.099, "volume_a3_per_atom": 13.92}



{"formula": "VB3Os", "functional": "PBE", "state": "optimized geometry", "cell": [[3.7814, 0.0000, 0.0000], [0.0000, 3.7814, 0.0000], [0.0000, 0.0000, 3.7814]], "species": ["V", "B", "B", "B", "Os"], "fractional_positions": [[0.0000, 0.0000, 0.0000], [0.0000, 0.0000, 0.5000], [0.0000, 0.5000, 0.0000], [0.5000, 0.0000, 0.0000], [0.5000, 0.5000, 0.5000]], "relative_energy_ev_per_atom": 0.572, "delta_e_f_ev_per_atom": 1.55, "final_energy_ev_per_atom": -6.523, "volume_a3_per_atom": 10.81}



{"formula": "VB3Os", "functional": "PBE", "state": "optimized geometry", "cell": [[4.0252, 0.0000, 0.0000], [0.0000, 4.0252, 0.0000], [0.0000, 0.0000, 4.0252]], "species": ["V", "B", "B", "B", "Os"], "fractional_positions": [[0.0000, 0.0000, 0.0000], [0.0000, 0.5000, 0.5000], [0.5000, 0.0000, 0.5000], [0.5000, 0.5000, 0.0000], [0.5000, 0.5000, 0.5000]], "relative_energy_ev_per_atom": 0.000, "delta_e_f_ev_per_atom": 0.98, "final_energy_ev_per_atom": -7.096, "volume_a3_per_atom": 13.04}



{"formula": "VB2Os", "functional": "PBE", "state": "optimized geometry", "cell": [[0.0000, 2.6931, 2.6931], [2.6931, 0.0000, 2.6931], [2.6931, 2.6931, 0.0000]], "species": ["V", "B", "B", "Os"], "fractional_positions": [[0.0000, 0.0000, 0.0000], [0.2500, 0.2500, 0.2500], [0.7500, 0.7500, 0.7500], [0.5000, 0.5000, 0.5000]], "relative_energy_ev_per_atom": 0.092, "delta_e_f_ev_per_atom": 0.06, "final_energy_ev_per_atom": -8.363, "volume_a3_per_atom": 9.77}



{"formula": "VB2Os", "functional": "PBE", "state": "optimized geometry", "cell": [[1.5490, 0.8943, 4.9519], [-1.5490, 0.8943, 4.9519], [0.0000, -1.7887, 4.9519]], "species": ["V", "B", "B", "Os"], "fractional_positions": [[0.0000, 0.0000, 0.0000], [0.2511, 0.2511, 0.2511], [0.7489, 0.7489, 0.7489], [0.5000, 0.5000, 0.5000]], "relative_energy_ev_per_atom": 0.000, "delta_e_f_ev_per_atom": -0.03, "final_energy_ev_per_atom": -8.455, "volume_a3_per_atom": 10.29}



{"formula": "V4B4Os", "functional": "PBE", "state": "optimized geometry", "cell": [[6.6043, 0.0000, 0.0000], [0.0000, 6.6043, 0.0000], [0.0000, 0.0000, 4.3980]], "species": ["V", "V", "V", "V", "V", "V", "V", "V", "B", "B", "B", "B", "B", "B", "B", "B", "Os", "Os"], "fractional_positions": [[0.0695, 0.6613, 0.1194], [0.1613, 0.9305, 0.6194], [0.3387, 0.5695, 0.6194], [0.4305, 0.8387, 0.1194], [0.5695, 0.1613, 0.8806], [0.6613, 0.4305, 0.3806], [0.8387, 0.0695, 0.3806], [0.9305, 0.3387, 0.8806], [0.0143, 0.6111, 0.6044], [0.1111, 0.9857, 0.1044], [0.3889, 0.5143, 0.1044], [0.4857, 0.8889, 0.6044], [0.5143, 0.1111, 0.3956], [0.6111, 0.4857, 0.8956], [0.8889, 0.0143, 0.8956], [0.9857, 0.3889, 0.3956], [0.2500, 0.2500, 0.2500], [0.7500, 0.7500, 0.7500]], "delta_e_f_ev_per_atom": -0.30, "final_energy_ev_per_atom": -8.568, "volume_a3_per_atom": 10.66}



{"formula": "VB2Os", "functional": "PBE", "state": "optimized geometry", "cell": [[-2.2783, 2.2783, 5.0924], [2.2783, -2.2783, 5.0924], [2.2783, 2.2783, -5.0924]], "species": ["V", "V", "B", "B", "B", "B", "Os", "Os"], "fractional_positions": [[0.0000, 0.0000, 0.0000], [0.7500, 0.2500, 0.5000], [0.1471, 0.6250, 0.0221], [0.3750, 0.3971, 0.5221], [0.6029, 0.1250, 0.9779], [0.8750, 0.8529, 0.4779], [0.2500, 0.7500, 0.5000], [0.5000, 0.5000, 0.0000]], "relative_energy_ev_per_atom": 0.716, "delta_e_f_ev_per_atom": 0.69, "final_energy_ev_per_atom": -7.739, "volume_a3_per_atom": 13.22}



{"formula": "BOsW2", "functional": "PBE", "state": "optimized geometry", "cell": [[2.9526, 0.0000, 0.0000], [0.0000, 7.5200, 0.0000], [0.0000, 0.0000, 4.8524]], "species": ["B", "B", "Os", "Os", "W", "W", "W", "W"], "fractional_positions": [[0.2500, 0.2500, 0.0405], [0.7500, 0.7500, 0.9595], [0.2500, 0.7500, 0.2741], [0.7500, 0.2500, 0.7259], [0.2500, 0.5568, 0.7462], [0.2500, 0.9432, 0.7462], [0.7500, 0.0568, 0.2538], [0.7500, 0.4432, 0.2538]], "delta_e_f_ev_per_atom": -0.04, "final_energy_ev_per_atom": -10.998, "volume_a3_per_atom": 13.47}